! Tb2Tm4C, relaxed, DFT GGA-PBE; values from VASP
! D(E_F) (states/eV/cell): 10.4
! Energy of formation from the pure elements (meV per atom): 113.4
&SYSTEM
  ibrav = 0, nat = 7, ntyp = 3
/
ATOMIC_SPECIES
C 12.01 C.upf
Tm 168.93 Tm.upf
Tb 158.93 Tb.upf
ATOMIC_POSITIONS crystal
C 0.000 0.000 0.000
Tm 0.133 0.133 0.735
Tm 0.867 0.867 0.265
Tm 0.000 0.500 0.000
Tm 0.500 0.000 0.000
Tb 0.324 0.324 0.352
Tb 0.676 0.676 0.648
CELL_PARAMETERS angstrom
-2.383 -4.115 0.241
1.727 -0.744 4.374
-7.312 1.817 5.786